[1]
## SnSb2PI (PBE)

Data for a relaxed SnSb2PI crystal.

```
SnSb2PI
1.0
5.348 0.000 0.000
0.000 5.348 0.000
0.000 0.000 5.297
Sn Sb P I
1 2 1 1
Cartesian
0.000 0.000 0.000
0.000 2.674 2.648
2.674 0.000 2.648
2.674 2.674 2.648
2.674 2.674 0.000
```

**Energy**: -16.68 eV/cell
**Energy relative to the elements, uncorrected**: 0.51 eV/atom
**Magnetic moment**: 0.0 μB per formula unit
**Symmetry**: P4/mmm
**Energy relative to the lowest polymorph listed for this composition**: 0.0 meV/atom



[2]
## Li3Mg3TlCd2 (PBE)

Data for a relaxed Li3Mg3TlCd2 crystal.

```
Li3Mg3TlCd2
1.0
8.250 0.000 0.000
-4.125 7.145 0.000
0.000 0.000 3.167
Li Mg Tl Cd
3 3 1 2
Cartesian
-2.891 5.007 0.000
1.234 2.138 0.000
5.782 0.000 0.000
-1.505 2.607 1.583
3.010 0.000 1.583
2.620 4.538 1.583
0.000 0.000 1.583
0.000 4.763 0.000
4.125 2.382 0.000
```

**Energy**: -16.17 eV/cell
**Magnetic moment**: 0.0 μB per formula unit
**Formation energy from the elements**: -0.16 eV/atom
**Symmetry**: P-62m



[3]
## AlTcRu2 (PBE)

Data for a relaxed AlTcRu2 crystal.

```
AlTcRu2
1.0
2.765 0.000 0.000
-1.383 2.395 0.000
0.000 0.000 25.677
Al Tc Ru
3 3 6
Cartesian
0.000 0.000 0.000
0.000 1.597 17.118
1.383 0.798 8.559
0.000 0.000 12.838
0.000 1.597 4.279
1.383 0.798 21.397
0.000 0.000 6.439
0.000 0.000 19.238
0.000 1.597 10.679
0.000 1.597 23.557
1.383 0.798 2.120
1.383 0.798 14.998
```

**Energy**: -99.72 eV/cell
**Magnetic moment**: 0.0 μB per formula unit
**Formation energy from the elements**: -0.14 eV/atom
**Symmetry**: R-3m
**Energy relative to the lowest polymorph listed for this composition**: 159.9 meV/atom



[4]
## Sr2Tl2Pb (PBE)

Data for a relaxed Sr2Tl2Pb crystal.

```
Sr2Tl2Pb
1.0
7.336 -2.432 0.000
7.336 2.432 0.000
-2.904 0.000 9.967
Sr Tl Pb
4 4 2
Cartesian
0.674 0.000 4.015
-0.859 0.000 9.940
12.626 0.000 0.027
11.094 0.000 5.952
4.658 0.000 3.490
4.602 0.000 8.389
7.166 0.000 1.578
7.110 0.000 6.477
1.589 0.000 7.517
10.178 0.000 2.451
```

**Energy**: -27.26 eV/cell
**Magnetic moment**: 0.0 μB per formula unit
**Formation energy from the elements**: -0.37 eV/atom
**Symmetry**: C2/m
**Energy relative to the lowest polymorph listed for this composition**: 15.2 meV/atom



[5]
## Tb7Pr3 (PBE)

Data for a relaxed Tb7Pr3 crystal.

```
Tb7Pr3
1.0
10.875 0.000 0.000
-5.438 9.418 0.000
0.000 0.000 6.553
Tb Pr
14 6
Cartesian
-2.241 4.985 0.000
0.000 2.271 5.427
-3.471 8.283 5.427
1.967 1.136 2.151
0.000 6.279 4.564
2.241 4.985 0.000
0.000 8.866 0.000
5.438 0.552 3.276
3.197 4.433 3.276
5.438 3.139 1.287
3.471 8.283 5.427
8.908 1.136 2.151
5.438 7.147 2.151
7.678 4.433 3.276
0.000 3.834 2.278
-2.117 7.501 2.278
3.320 1.917 5.554
2.117 7.501 2.278
7.555 1.917 5.554
5.438 5.584 5.554
```

**Energy**: -89.99 eV/cell
**Magnetic moment**: 0.0 μB per formula unit
**Formation energy from the elements**: 0.18 eV/atom
**Symmetry**: P6_3mc
**Energy relative to the lowest polymorph listed for this composition**: 157.8 meV/atom



[6]
## UTa2H6 (PBE)

Data for a relaxed UTa2H6 crystal.

```
UTa2H6
1.0
2.963 0.000 0.000
0.001 5.621 0.000
0.013 2.810 4.871
U Ta H
1 2 6
Cartesian
0.000 0.000 0.000
1.486 2.811 1.625
1.490 5.620 3.246
0.004 1.716 1.245
2.972 6.715 3.626
0.005 3.684 0.863
0.009 5.401 2.108
2.967 3.030 2.763
2.972 4.747 4.009
```

**Energy**: -55.72 eV/cell
**Magnetic moment**: 1.9 μB per formula unit
**Symmetry**: P-1



[7]
## HoTm10Sc4 (PBE)

Data for a relaxed HoTm10Sc4 crystal.

```
HoTm10Sc4
1.0
-5.167 5.167 4.519
5.167 -5.167 4.519
5.167 5.167 -4.519
Ho Tm Sc
1 10 4
Cartesian
0.000 0.000 0.000
6.424 -2.998 2.865
2.169 -1.257 1.654
5.167 0.000 2.260
8.165 1.257 1.654
1.257 2.169 1.654
3.910 2.998 2.865
-2.998 3.910 2.865
0.000 5.167 2.260
2.998 6.424 2.865
-1.257 8.165 1.654
5.546 2.730 0.000
2.730 4.788 0.000
2.437 0.379 4.519
-0.379 2.437 4.519
```

**Energy**: -65.97 eV/cell
**Magnetic moment**: 0.0 μB per formula unit
**Formation energy from the elements**: 0.58 eV/atom
**Symmetry**: I4/m



[8]
## Pm2ScGe (PBE)

Data for a relaxed Pm2ScGe crystal.

```
Pm2ScGe
1.0
4.674 0.000 0.000
0.000 4.674 0.000
0.000 0.000 4.611
Pm Sc Ge
2 1 1
Cartesian
0.000 2.337 0.000
2.337 0.000 0.000
0.000 0.000 2.306
2.337 2.337 2.306
```

**Energy**: -21.81 eV/cell
**Magnetic moment**: 0.0 μB per formula unit
**Formation energy from the elements**: -0.34 eV/atom
**Symmetry**: P4/mmm
**Energy relative to the lowest polymorph listed for this composition**: 0.0 meV/atom



[9]
## Er2PuCuO8 (PBE)

Data for a relaxed Er2PuCuO8 crystal.

```
Er2PuCuO8
1.0
4.823 0.000 0.000
0.481 4.936 0.000
0.599 0.777 6.883
Er Pu Cu O
2 1 1 8
Cartesian
0.400 0.363 1.585
5.503 5.351 5.298
2.952 2.857 3.442
2.652 2.468 0.000
1.476 4.175 3.502
1.379 3.849 0.017
2.076 1.741 4.674
2.036 1.880 1.657
3.867 3.834 5.226
3.827 3.972 2.210
4.524 1.865 6.867
4.427 1.538 3.381
```

**Energy**: -96.23 eV/cell
**Energy relative to the elements, uncorrected**: -2.42 eV/atom
**Magnetic moment**: 1.0 μB per formula unit
**Symmetry**: P-1



[10]
## TbGdPt (PBE)

Data for a relaxed TbGdPt crystal.

```
TbGdPt
1.0
6.924 0.000 0.000
0.000 6.924 0.000
0.000 0.000 6.924
Tb Gd Pt
4 4 4
Cartesian
0.000 0.000 0.000
0.000 3.462 3.462
3.462 0.000 3.462
3.462 3.462 0.000
0.000 0.000 3.462
0.000 3.462 0.000
3.462 0.000 0.000
3.462 3.462 3.462
1.731 1.731 1.731
1.731 5.193 5.193
5.193 1.731 5.193
5.193 5.193 1.731
```

**Energy**: -108.99 eV/cell
**Magnetic moment**: 7.1 μB per formula unit
**Formation energy from the elements**: -0.83 eV/atom
**Symmetry**: F-43m
**Energy relative to the lowest polymorph listed for this composition**: 0.0 meV/atom



[11]
## K3Ir (PBE)

Data for a relaxed K3Ir crystal.

```
K3Ir
1.0
10.475 0.000 0.000
-5.237 9.071 0.000
0.000 0.000 4.233
K Ir
9 3
Cartesian
-2.619 4.536 0.000
0.000 3.024 1.411
-2.619 7.560 1.411
2.619 1.512 2.822
5.237 0.000 0.000
2.619 4.536 0.000
2.619 7.560 1.411
7.856 1.512 2.822
5.237 6.048 2.822
0.000 0.000 0.000
0.000 6.048 2.822
5.237 3.024 1.411
```

**Energy**: -25.61 eV/cell
**Magnetic moment**: 0.0 μB per formula unit
**Formation energy from the elements**: 0.90 eV/atom
**Symmetry**: R-3m
**Energy relative to the lowest polymorph listed for this composition**: 233.6 meV/atom



[12]
## HfMoAs2Pb (PBE)

Data for a relaxed HfMoAs2Pb crystal.

```
HfMoAs2Pb
1.0
5.123 0.000 0.000
0.000 5.123 0.000
0.000 0.000 5.138
Hf Mo As Pb
1 1 2 1
Cartesian
0.000 0.000 0.000
0.000 0.000 2.569
0.000 2.562 0.000
2.562 0.000 0.000
2.562 2.562 2.569
```

**Energy**: -29.80 eV/cell
**Magnetic moment**: 2.5 μB per formula unit
**Formation energy from the elements**: 0.80 eV/atom
**Symmetry**: P4/mmm



> Which value of energy does entry 4 give?

-27.26 eV/cell



> The lowest energy belongs to which entry?

TbGdPt



> What is the magnetic moment in the twelfth record?

2.5 μB per formula unit